No. 1
# PBE TbPrB12, optimized geometry
# ΔE_f ... -449 meV per atom
# Crystal system ... tetragonal
# Magnetization ... 0.0 μB per formula unit
# Mass density ... 5.1 Mg/m³
data_TbPrB12
_symmetry_space_group_name_H-M 'P 4/m m m'
_symmetry_Int_Tables_number 123
_symmetry_space_group_name_Hall '-P 4 2'
_cell_length_a 4.122
_cell_length_b 4.122
_cell_length_c 8.246
_cell_angle_alpha 90.00
_cell_angle_beta 90.00
_cell_angle_gamma 90.00
loop_
_atom_site_label
_atom_site_type_symbol
_atom_site_fract_x
_atom_site_fract_y
_atom_site_fract_z
_atom_site_occupancy
Tb1 Tb 0.000 0.000 0.000 1
Pr1 Pr 0.000 0.000 0.500 1
B1 B 0.199 0.500 0.248 1
B2 B 0.500 0.500 0.099 1
B3 B 0.500 0.500 0.400 1

***

No. 2
# PBE Ti2AlTe4, optimized geometry
# Crystal system ... monoclinic
# Energy relative to the elements, uncorrected ... -3.84 eV/f.u.
# Magnetization ... 0.0 μB per formula unit
# Mass density ... 6.0 Mg/m³
data_Ti2AlTe4
_symmetry_space_group_name_H-M 'C 1 2/m 1'
_symmetry_Int_Tables_number 12
_cell_length_a 14.320
_cell_length_b 3.856
_cell_length_c 7.120
_cell_angle_alpha 90.00
_cell_angle_beta 117.80
_cell_angle_gamma 90.00
loop_
_symmetry_equiv_pos_as_xyz
'x,y,z'
'-x,-y,-z'
'-x,y,-z'
'x,-y,z'
'x+1/2,y+1/2,z'
'-x+1/2,-y+1/2,-z'
'-x+1/2,y+1/2,-z'
'x+1/2,-y+1/2,z'
loop_
_atom_site_label
_atom_site_type_symbol
_atom_site_fract_x
_atom_site_fract_y
_atom_site_fract_z
_atom_site_occupancy
Ti1 Ti 0.244 0.000 0.183 1
Al1 Al 0.000 0.000 0.000 1
Te1 Te 0.107 0.000 0.754 1
Te2 Te 0.136 0.500 0.306 1